1.
Compound: KTc2O8
Source: Alexandria
Functional: GGA-PBE
Structure: optimized geometry

Output
- electronic total energy (eV for the cell shown) = -68.36
- SG = P4/mmm, No. 123
- theoretical density (g/cm³) = 4.0
- uncorrected formation energy (eV/atom) = -0.624
- V (Å³/atom) = 13.9
- D(E_F) (states/eV/cell) = 6.5

Unit cell a=4.711 b=4.711 c=6.872 alpha=90.00 beta=90.00 gamma=90.00
Fractional coordinates of all 11 atoms:
1 O 0.750 0.750 0.170
2 O 0.250 0.750 0.170
3 O 0.250 0.250 0.830
4 O 0.750 0.250 0.170
5 O 0.750 0.750 0.830
6 O 0.750 0.250 0.830
7 O 0.250 0.750 0.830
8 O 0.250 0.250 0.170
9 K 0.500 0.500 0.500
10 Tc 0.000 0.500 0.000
11 Tc 0.500 0.000 0.000

=====

2.
Compound: K3Tc5O12
Source: Alexandria
Functional: GGA-PBE
Structure: optimized geometry

Output
- electronic total energy (eV for the cell shown) = -569.72
- SG = Ia-3d, No. 230
- theoretical density (g/cm³) = 4.6
- uncorrected formation energy (eV/atom) = -1.390
- V (Å³/atom) = 14.4
- D(E_F) (states/eV/cell) = 22.3

Unit cell a=11.445 b=11.445 c=11.445 alpha=109.47 beta=109.47 gamma=109.47
Fractional coordinates of all 80 atoms:
1 O 0.608 0.003 0.683
2 O 0.605 0.997 0.180
3 O 0.817 0.925 0.320
4 O 0.503 0.683 0.108
5 O 0.003 0.395 0.320
6 O 0.320 0.895 0.003
7 O 0.392 0.395 0.575
8 O 0.605 0.608 0.925
9 O 0.105 0.425 0.108
10 O 0.105 0.680 0.497
11 O 0.183 0.075 0.680
12 O 0.820 0.503 0.395
13 O 0.817 0.892 0.997
14 O 0.425 0.320 0.317
15 O 0.680 0.105 0.997
16 O 0.497 0.180 0.105
17 O 0.425 0.105 0.608
18 O 0.680 0.575 0.183
19 O 0.183 0.108 0.003
20 O 0.892 0.817 0.497
21 O 0.108 0.925 0.105
22 O 0.925 0.817 0.820
23 O 0.180 0.683 0.075
24 O 0.997 0.605 0.680
25 O 0.503 0.820 0.895
26 O 0.895 0.320 0.503
27 O 0.925 0.108 0.605
28 O 0.683 0.503 0.608
29 O 0.075 0.892 0.395
30 O 0.683 0.180 0.575
31 O 0.497 0.317 0.892
32 O 0.575 0.895 0.392
33 O 0.392 0.997 0.317
34 O 0.108 0.183 0.503
35 O 0.575 0.680 0.683
36 O 0.317 0.497 0.392
37 O 0.820 0.317 0.925
38 O 0.317 0.820 0.425
39 O 0.892 0.075 0.895
40 O 0.180 0.497 0.605
41 O 0.395 0.003 0.820
42 O 0.997 0.392 0.817
43 O 0.320 0.425 0.817
44 O 0.895 0.575 0.892
45 O 0.003 0.608 0.183
46 O 0.395 0.392 0.075
47 O 0.075 0.183 0.180
48 O 0.608 0.605 0.425
49 Tc 0.125 0.375 0.250
50 Tc 0.250 0.375 0.625
51 Tc 0.000 0.000 0.500
52 Tc 0.500 0.000 0.500
53 Tc 0.000 0.500 0.500
54 Tc 0.000 0.000 0.000
55 Tc 0.500 0.500 0.000
56 Tc 0.500 0.500 0.500
57 Tc 0.875 0.250 0.625
58 Tc 0.750 0.625 0.375
59 Tc 0.500 0.000 0.000
60 Tc 0.875 0.625 0.750
61 Tc 0.375 0.125 0.750
62 Tc 0.625 0.875 0.250
63 Tc 0.000 0.500 0.000
64 Tc 0.250 0.875 0.125
65 Tc 0.750 0.125 0.875
66 Tc 0.625 0.750 0.875
67 Tc 0.375 0.250 0.125
68 Tc 0.125 0.750 0.375
69 K 0.625 0.250 0.375
70 K 0.750 0.875 0.625
71 K 0.250 0.125 0.375
72 K 0.125 0.875 0.750
73 K 0.875 0.750 0.125
74 K 0.250 0.625 0.875
75 K 0.875 0.125 0.250
76 K 0.625 0.375 0.750
77 K 0.125 0.250 0.875
78 K 0.375 0.625 0.250
79 K 0.375 0.750 0.625
80 K 0.750 0.375 0.125

=====

3.
Compound: K3Tc2O7
Source: Alexandria
Functional: GGA-PBE
Structure: optimized geometry

Output
- electronic total energy (eV for the cell shown) = -77.47
- SG = Cmmm, No. 65
- theoretical density (g/cm³) = 4.1
- uncorrected formation energy (eV/atom) = -1.562
- V (Å³/atom) = 14.4
- D(E_F) (states/eV/cell) = 4.5

Unit cell a=3.897 b=3.920 c=11.491 alpha=99.82 beta=90.00 gamma=90.00
Fractional coordinates of all 12 atoms:
1 Tc 0.000 0.912 0.823
2 Tc 0.000 0.088 0.177
3 O 0.000 0.587 0.174
4 O 0.500 0.913 0.826
5 O 0.500 0.087 0.174
6 O 0.000 0.829 0.658
7 O 0.000 0.171 0.342
8 O 0.000 0.000 0.000
9 O 0.000 0.413 0.826
10 K 0.500 0.500 0.000
11 K 0.500 0.319 0.639
12 K 0.500 0.681 0.361

=====

4.
Compound: K3Tc2O8
Source: Alexandria
Functional: GGA-PBE
Structure: optimized geometry

Output
- electronic total energy (eV for the cell shown) = -85.80
- SG = R-3m, No. 166
- theoretical density (g/cm³) = 3.1
- uncorrected formation energy (eV/atom) = -1.701
- V (Å³/atom) = 18.1
- D(E_F) (states/eV/cell) = 7.0

Unit cell a=6.142 b=6.142 c=8.027 alpha=67.51 beta=67.51 gamma=60.00
Fractional coordinates of all 13 atoms:
1 Tc 0.596 0.596 0.213
2 Tc 0.404 0.404 0.787
3 O 0.745 0.276 0.704
4 O 0.323 0.323 0.031
5 O 0.724 0.255 0.296
6 O 0.276 0.745 0.704
7 O 0.724 0.724 0.296
8 O 0.677 0.677 0.969
9 O 0.276 0.276 0.704
10 O 0.255 0.724 0.296
11 K 0.802 0.802 0.593
12 K 0.000 0.000 0.000
13 K 0.198 0.198 0.407

=====

5.
Compound: KTcO2
Source: Alexandria
Functional: GGA-PBE
Structure: optimized geometry

Output
- electronic total energy (eV for the cell shown) = -51.09
- SG = I-42d, No. 122
- theoretical density (g/cm³) = 4.0
- uncorrected formation energy (eV/atom) = -1.041
- V (Å³/atom) = 17.7
- D(E_F) (states/eV/cell) = 3.0

Unit cell a=5.144 b=5.144 c=6.477 alpha=66.60 beta=66.60 gamma=90.00
Fractional coordinates of all 8 atoms:
1 K 0.250 0.750 0.500
2 K 0.500 0.500 0.000
3 Tc 0.750 0.250 0.500
4 Tc 0.000 0.000 0.000
5 O 0.875 0.012 0.750
6 O 0.375 0.238 0.750
7 O 0.762 0.125 0.250
8 O 0.988 0.625 0.250

=====

6.
Compound: KTcTeO6
Source: Alexandria
Functional: GGA-PBE
Structure: optimized geometry

Output
- electronic total energy (eV for the cell shown) = -56.28
- SG = P312, No. 149
- theoretical density (g/cm³) = 4.0
- uncorrected formation energy (eV/atom) = -1.325
- V (Å³/atom) = 16.6
- D(E_F) (states/eV/cell) = 0.4

Unit cell a=5.392 b=5.392 c=5.935 alpha=90.00 beta=90.00 gamma=60.00
Fractional coordinates of all 9 atoms:
1 Tc 0.667 0.667 0.500
2 O 0.582 0.426 0.695
3 O 0.426 0.582 0.305
4 O 0.991 0.583 0.695
5 O 0.426 0.991 0.695
6 O 0.991 0.426 0.305
7 O 0.582 0.991 0.305
8 K 0.000 0.000 0.000
9 Te 0.333 0.333 0.500

=====

7.
Compound: KTc2TeO8
Source: Alexandria
Functional: GGA-PBE
Structure: optimized geometry

Output
- electronic total energy (eV for the cell shown) = -79.72
- SG = C2/m, No. 12
- theoretical density (g/cm³) = 4.1
- uncorrected formation energy (eV/atom) = -1.257
- V (Å³/atom) = 16.4
- D(E_F) (states/eV/cell) = 5.9

Unit cell a=5.303 b=5.303 c=7.542 alpha=77.16 beta=77.16 gamma=75.23
Fractional coordinates of all 12 atoms:
1 O 0.744 0.744 0.073
2 O 0.300 0.777 0.771
3 O 0.256 0.256 0.927
4 O 0.777 0.300 0.771
5 O 0.653 0.653 0.456
6 O 0.347 0.347 0.544
7 O 0.700 0.223 0.229
8 O 0.223 0.700 0.229
9 Tc 0.554 0.554 0.272
10 Tc 0.446 0.446 0.728
11 Te 0.000 0.000 0.000
12 K 0.000 0.000 0.500

=====

8.
Compound: K2ThTcO6
Source: Alexandria
Functional: GGA-PBE
Structure: optimized geometry

Output
- electronic total energy (eV for the cell shown) = -71.93
- SG = P4mm, No. 99
- theoretical density (g/cm³) = 5.2
- uncorrected formation energy (eV/atom) = -2.220
- V (Å³/atom) = 16.1
- D(E_F) (states/eV/cell) = 1.1

Unit cell a=4.584 b=5.920 c=5.920 alpha=90.00 beta=90.00 gamma=90.00
Fractional coordinates of all 10 atoms:
1 K 0.114 0.500 0.000
2 K 0.114 0.000 0.500
3 Th 0.650 0.500 0.500
4 O 0.188 0.000 0.000
5 O 0.666 0.222 0.778
6 O 0.666 0.222 0.222
7 O 0.666 0.778 0.222
8 O 0.666 0.778 0.778
9 O 0.152 0.500 0.500
10 Tc 0.565 0.000 0.000